A relaxed structure of Cs3Ce3CoS8. Source: Alexandria via LeMat-Bulk, functional PBE-GGA.

The value obtained for the uncorrected formation energy is -32.45 kcal/mol of atoms. The calculation puts the total energy at -5.440 eV/atom.

The space group is C2/m (No. 12) and the conventional cell measures 14.071, 8.116 and 9.406 Å, with angles of 90.00, 120.01 and 90.00 degrees. The inequivalent atoms are Cs at (0.000, 0.000, 0.000), Cs at (0.250, 0.250, 0.000), Ce at (0.000, 0.500, 0.500), Ce at (0.250, 0.250, 0.500), Co at (0.000, 0.000, 0.500), S at (0.023, 0.238, 0.332), S at (0.216, 0.000, 0.669) and S at (0.229, 0.500, 0.686).


A relaxed structure of CsCeCoS3. Source: Alexandria via LeMat-Bulk, functional PBE-GGA.

The value obtained for the uncorrected formation energy is -30.49 kcal/mol of atoms. The calculation puts the total energy at -5.701 eV/atom.

The space group is P2_1/m (No. 11) and the conventional cell measures 9.535, 3.982 and 9.602 Å, with angles of 90.00, 111.48 and 90.00 degrees. The inequivalent atoms are Cs at (0.204, 0.250, 0.240), Ce at (0.322, 0.750, 0.838), Co at (0.080, 0.250, 0.589), S at (0.127, 0.250, 0.842), S at (0.165, 0.750, 0.533) and S at (0.468, 0.750, 0.150).